Record 1
CeUPd: relaxed, PBE.

Calculated formation energy, eV/atom: -0.192

Unit cell a=5.009 b=3.161 c=7.959 alpha=90.00 beta=94.37 gamma=90.00
Element x y z (fractional)
Ce: 0.093 0.250 0.302
Ce: 0.907 0.750 0.698
U: 0.281 0.750 0.976
U: 0.719 0.250 0.024
Pd: 0.411 0.250 0.640
Pd: 0.589 0.750 0.360



Record 2
Ce3UPd12: relaxed, PBE.

Calculated formation energy, eV/atom: -0.742

Unit cell a=4.157 b=4.157 c=16.656 alpha=90.00 beta=90.00 gamma=90.00
Element x y z (fractional)
Ce: 0.000 0.000 0.000
Ce: 0.000 0.000 0.250
Ce: 0.000 0.000 0.750
U: 0.000 0.000 0.500
Pd: 0.000 0.500 0.125
Pd: 0.000 0.500 0.377
Pd: 0.000 0.500 0.623
Pd: 0.000 0.500 0.875
Pd: 0.500 0.000 0.125
Pd: 0.500 0.000 0.377
Pd: 0.500 0.000 0.623
Pd: 0.500 0.000 0.875
Pd: 0.500 0.500 0.000
Pd: 0.500 0.500 0.251
Pd: 0.500 0.500 0.500
Pd: 0.500 0.500 0.749



Record 3
CeVPd2: relaxed, PBE.

Calculated formation energy, eV/atom: 0.161

Unit cell a=2.834 b=2.834 c=30.614 alpha=90.00 beta=90.00 gamma=120.00
Element x y z (fractional)
Ce: 0.000 0.000 0.000
Ce: 0.333 0.667 0.667
Ce: 0.667 0.333 0.333
V: 0.000 0.000 0.500
V: 0.333 0.667 0.167
V: 0.667 0.333 0.833
Pd: 0.000 0.000 0.423
Pd: 0.000 0.000 0.577
Pd: 0.333 0.667 0.089
Pd: 0.333 0.667 0.244
Pd: 0.667 0.333 0.756
Pd: 0.667 0.333 0.911



Record 4
CeYPd6: relaxed, PBE.

Calculated formation energy, eV/atom: -0.863

Unit cell a=4.139 b=4.139 c=8.273 alpha=90.00 beta=90.00 gamma=90.00
Element x y z (fractional)
Ce: 0.000 0.000 0.000
Y: 0.000 0.000 0.500
Pd: 0.000 0.500 0.247
Pd: 0.000 0.500 0.753
Pd: 0.500 0.000 0.247
Pd: 0.500 0.000 0.753
Pd: 0.500 0.500 0.000
Pd: 0.500 0.500 0.500



Record 5
CeY2Pd: relaxed, PBE.

Distance to the lowest polymorph of the same formula, meV per atom: 144
Calculated formation energy, eV/atom: -0.218

Unit cell a=3.704 b=3.704 c=29.139 alpha=90.00 beta=90.00 gamma=120.00
Element x y z (fractional)
Ce: 0.000 0.000 0.000
Ce: 0.333 0.667 0.667
Ce: 0.667 0.333 0.333
Y: 0.000 0.000 0.233
Y: 0.000 0.000 0.436
Y: 0.333 0.667 0.103
Y: 0.333 0.667 0.900
Y: 0.667 0.333 0.566
Y: 0.667 0.333 0.769
Pd: 0.000 0.000 0.835
Pd: 0.333 0.667 0.502
Pd: 0.667 0.333 0.168



Record 6
CeY4Pd15: relaxed, PBE.

Calculated formation energy, eV/atom: -0.856

Unit cell a=4.133 b=4.133 c=20.696 alpha=90.00 beta=90.00 gamma=90.00
Element x y z (fractional)
Ce: 0.000 0.000 0.000
Y: 0.000 0.000 0.201
Y: 0.000 0.000 0.400
Y: 0.000 0.000 0.600
Y: 0.000 0.000 0.799
Pd: 0.000 0.500 0.098
Pd: 0.000 0.500 0.300
Pd: 0.000 0.500 0.500
Pd: 0.000 0.500 0.700
Pd: 0.000 0.500 0.902
Pd: 0.500 0.000 0.098
Pd: 0.500 0.000 0.300
Pd: 0.500 0.000 0.500
Pd: 0.500 0.000 0.700
Pd: 0.500 0.000 0.902
Pd: 0.500 0.500 0.000
Pd: 0.500 0.500 0.199
Pd: 0.500 0.500 0.400
Pd: 0.500 0.500 0.600
Pd: 0.500 0.500 0.801



Record 7
CeY2Pd: relaxed, PBE.

Distance to the lowest polymorph of the same formula, meV per atom: 0
Calculated formation energy, eV/atom: -0.362

Unit cell a=3.523 b=3.523 c=8.607 alpha=90.00 beta=90.00 gamma=90.00
Element x y z (fractional)
Ce: 0.000 0.000 0.000
Y: 0.500 0.500 0.301
Y: 0.500 0.500 0.699
Pd: 0.000 0.000 0.500



Record 8
Ce2YPd: relaxed, PBE.

Distance to the lowest polymorph of the same formula, meV per atom: 0
Calculated formation energy, eV/atom: -0.229

Unit cell a=3.730 b=3.730 c=7.812 alpha=90.00 beta=90.00 gamma=90.00
Element x y z (fractional)
Ce: 0.000 0.000 0.196
Ce: 0.000 0.000 0.804
Y: 0.500 0.500 0.500
Pd: 0.500 0.500 0.000



Record 9
CeY2Pd9: relaxed, PBE.

Calculated formation energy, eV/atom: -0.856

Unit cell a=4.137 b=4.137 c=12.415 alpha=90.00 beta=90.00 gamma=90.00
Element x y z (fractional)
Ce: 0.000 0.000 0.000
Y: 0.000 0.000 0.335
Y: 0.000 0.000 0.665
Pd: 0.000 0.500 0.164
Pd: 0.000 0.500 0.500
Pd: 0.000 0.500 0.836
Pd: 0.500 0.000 0.164
Pd: 0.500 0.000 0.500
Pd: 0.500 0.000 0.836
Pd: 0.500 0.500 0.000
Pd: 0.500 0.500 0.332
Pd: 0.500 0.500 0.668



Record 10
CeY2Pd: relaxed, PBE.

Distance to the lowest polymorph of the same formula, meV per atom: 295
Calculated formation energy, eV/atom: -0.067

Unit cell a=3.466 b=3.466 c=32.435 alpha=90.00 beta=90.00 gamma=120.00
Element x y z (fractional)
Ce: 0.000 0.000 0.000
Ce: 0.333 0.667 0.667
Ce: 0.667 0.333 0.333
Y: 0.000 0.000 0.103
Y: 0.000 0.000 0.897
Y: 0.333 0.667 0.564
Y: 0.333 0.667 0.770
Y: 0.667 0.333 0.230
Y: 0.667 0.333 0.436
Pd: 0.000 0.000 0.500
Pd: 0.333 0.667 0.167
Pd: 0.667 0.333 0.833



Record 11
CeY3Pd12: relaxed, PBE.

Calculated formation energy, eV/atom: -0.856

Unit cell a=4.138 b=4.138 c=16.521 alpha=90.00 beta=90.00 gamma=90.00
Element x y z (fractional)
Ce: 0.000 0.000 0.000
Y: 0.000 0.000 0.252
Y: 0.000 0.000 0.500
Y: 0.000 0.000 0.748
Pd: 0.000 0.500 0.123
Pd: 0.000 0.500 0.375
Pd: 0.000 0.500 0.625
Pd: 0.000 0.500 0.877
Pd: 0.500 0.000 0.123
Pd: 0.500 0.000 0.375
Pd: 0.500 0.000 0.625
Pd: 0.500 0.000 0.877
Pd: 0.500 0.500 0.000
Pd: 0.500 0.500 0.249
Pd: 0.500 0.500 0.500
Pd: 0.500 0.500 0.751



Record 12
Ce2YPd: relaxed, PBE.

Distance to the lowest polymorph of the same formula, meV per atom: 231
Calculated formation energy, eV/atom: 0.002

Unit cell a=3.474 b=3.474 c=31.723 alpha=90.00 beta=90.00 gamma=120.00
Element x y z (fractional)
Ce: 0.000 0.000 0.099
Ce: 0.000 0.000 0.901
Ce: 0.333 0.667 0.567
Ce: 0.333 0.667 0.766
Ce: 0.667 0.333 0.234
Ce: 0.667 0.333 0.433
Y: 0.000 0.000 0.000
Y: 0.333 0.667 0.667
Y: 0.667 0.333 0.333
Pd: 0.000 0.000 0.500
Pd: 0.333 0.667 0.167
Pd: 0.667 0.333 0.833



Record 13
CeYZnPd: relaxed, PBE.

Calculated formation energy, eV/atom: -0.471

Unit cell a=7.168 b=7.168 c=7.168 alpha=90.00 beta=90.00 gamma=90.00
Element x y z (fractional)
Ce: 0.000 0.000 0.000
Ce: 0.000 0.500 0.500
Ce: 0.500 0.000 0.500
Ce: 0.500 0.500 0.000
Y: 0.000 0.000 0.500
Y: 0.000 0.500 0.000
Y: 0.500 0.000 0.000
Y: 0.500 0.500 0.500
Zn: 0.250 0.250 0.750
Zn: 0.250 0.750 0.250
Zn: 0.750 0.250 0.250
Zn: 0.750 0.750 0.750
Pd: 0.250 0.250 0.250
Pd: 0.250 0.750 0.750
Pd: 0.750 0.250 0.750
Pd: 0.750 0.750 0.250



Record 14
CeZn4Pd: relaxed, PBE.

Distance to the lowest polymorph of the same formula, meV per atom: 67
Calculated formation energy, eV/atom: -0.286

Unit cell a=5.299 b=5.299 c=5.299 alpha=60.00 beta=60.00 gamma=60.00
Element x y z (fractional)
Ce: 0.000 0.000 0.000
Zn: 0.376 0.376 0.376
Zn: 0.376 0.376 0.871
Zn: 0.376 0.871 0.376
Zn: 0.871 0.376 0.376
Pd: 0.750 0.750 0.750



Record 15
Ce2ZnPd: relaxed, PBE.

Distance to the lowest polymorph of the same formula, meV per atom: 52
Calculated formation energy, eV/atom: -0.375

Unit cell a=6.635 b=7.413 c=3.758 alpha=90.00 beta=90.00 gamma=90.00
Element x y z (fractional)
Ce: 0.250 0.250 0.000
Ce: 0.250 0.750 0.000
Ce: 0.750 0.250 0.000
Ce: 0.750 0.750 0.000
Zn: 0.000 0.000 0.500
Zn: 0.500 0.500 0.500
Pd: 0.000 0.500 0.500
Pd: 0.500 0.000 0.500



Record 16
Ce3Zn4Pd4: relaxed, PBE.

Distance to the lowest polymorph of the same formula, meV per atom: 0
Calculated formation energy, eV/atom: -0.618

Unit cell a=8.269 b=8.269 c=8.269 alpha=151.24 beta=126.05 gamma=62.28
Element x y z (fractional)
Ce: 0.000 0.000 0.000
Ce: 0.373 0.873 0.500
Ce: 0.627 0.127 0.500
Zn: 0.021 0.325 0.696
Zn: 0.371 0.675 0.696
Zn: 0.629 0.325 0.304
Zn: 0.979 0.675 0.304
Pd: 0.218 0.218 0.000
Pd: 0.305 0.500 0.805
Pd: 0.695 0.500 0.195
Pd: 0.782 0.782 0.000



Record 17
CeZnPd: relaxed, PBE.

Distance to the lowest polymorph of the same formula, meV per atom: 690
Calculated formation energy, eV/atom: 0.062

Unit cell a=2.854 b=2.854 c=15.049 alpha=90.00 beta=90.00 gamma=90.00
Element x y z (fractional)
Ce: 0.000 0.000 0.000
Ce: 0.500 0.500 0.500
Zn: 0.000 0.000 0.662
Zn: 0.500 0.500 0.162
Pd: 0.000 0.000 0.829
Pd: 0.500 0.500 0.329



Record 18
Ce3Zn7Pd2: relaxed, PBE.

Calculated formation energy, eV/atom: -0.395

Unit cell a=9.403 b=9.403 c=9.403 alpha=33.49 beta=33.49 gamma=33.49
Element x y z (fractional)
Ce: 0.000 0.000 0.000
Ce: 0.152 0.152 0.152
Ce: 0.848 0.848 0.848
Zn: 0.082 0.580 0.580
Zn: 0.420 0.420 0.918
Zn: 0.420 0.918 0.420
Zn: 0.500 0.500 0.500
Zn: 0.580 0.082 0.580
Zn: 0.580 0.580 0.082
Zn: 0.918 0.420 0.420
Pd: 0.334 0.334 0.334
Pd: 0.666 0.666 0.666



Record 19
CeZn4Pd: relaxed, PBE.

Distance to the lowest polymorph of the same formula, meV per atom: 0
Calculated formation energy, eV/atom: -0.353

Unit cell a=7.854 b=4.016 c=6.997 alpha=90.00 beta=90.00 gamma=90.00
Element x y z (fractional)
Ce: 0.250 0.000 0.115
Ce: 0.750 0.000 0.885
Zn: 0.000 0.000 0.500
Zn: 0.044 0.500 0.802
Zn: 0.250 0.500 0.451
Zn: 0.456 0.500 0.802
Zn: 0.500 0.000 0.500
Zn: 0.544 0.500 0.198
Zn: 0.750 0.500 0.549
Zn: 0.956 0.500 0.198
Pd: 0.250 0.000 0.716
Pd: 0.750 0.000 0.284



Record 20
CeZn4Pd8: relaxed, PBE.

Calculated formation energy, eV/atom: -0.549

Unit cell a=6.800 b=6.800 c=6.800 alpha=98.89 beta=98.89 gamma=133.71
Element x y z (fractional)
Ce: 0.000 0.000 0.000
Zn: 0.000 0.000 0.500
Zn: 0.000 0.500 0.000
Zn: 0.500 0.000 0.000
Zn: 0.500 0.500 0.500
Pd: 0.000 0.339 0.339
Pd: 0.000 0.661 0.661
Pd: 0.277 0.500 0.777
Pd: 0.339 0.000 0.339
Pd: 0.500 0.277 0.777
Pd: 0.500 0.723 0.223
Pd: 0.661 0.000 0.661
Pd: 0.723 0.500 0.223



Record 21
CeZn6Pd12: relaxed, PBE.

Calculated formation energy, eV/atom: -0.364

Unit cell a=7.247 b=7.247 c=7.247 alpha=106.58 beta=106.58 gamma=106.58
Element x y z (fractional)
Ce: 0.000 0.000 0.000
Zn: 0.283 0.283 0.705
Zn: 0.283 0.705 0.283
Zn: 0.295 0.717 0.717
Zn: 0.705 0.283 0.283
Zn: 0.717 0.295 0.717
Zn: 0.717 0.717 0.295
Pd: 0.119 0.500 0.881
Pd: 0.119 0.881 0.500
Pd: 0.139 0.381 0.381
Pd: 0.381 0.139 0.381
Pd: 0.381 0.381 0.139
Pd: 0.500 0.119 0.881
Pd: 0.500 0.881 0.119
Pd: 0.619 0.619 0.861
Pd: 0.619 0.861 0.619
Pd: 0.861 0.619 0.619
Pd: 0.881 0.119 0.500
Pd: 0.881 0.500 0.119



Record 22
CeZn2Pd: relaxed, PBE.

Calculated formation energy, eV/atom: -0.381

Unit cell a=3.194 b=3.194 c=7.174 alpha=90.00 beta=90.00 gamma=90.00
Element x y z (fractional)
Ce: 0.000 0.000 0.000
Zn: 0.500 0.500 0.306
Zn: 0.500 0.500 0.694
Pd: 0.000 0.000 0.500



Record 23
Ce3Zn4Pd4: relaxed, PBE.

Distance to the lowest polymorph of the same formula, meV per atom: 78
Calculated formation energy, eV/atom: -0.540

Unit cell a=13.532 b=13.532 c=13.532 alpha=164.64 beta=160.47 gamma=24.94
Element x y z (fractional)
Ce: 0.000 0.000 0.000
Ce: 0.356 0.856 0.500
Ce: 0.644 0.144 0.500
Zn: 0.193 0.693 0.500
Zn: 0.452 0.452 0.000
Zn: 0.548 0.548 0.000
Zn: 0.807 0.307 0.500
Pd: 0.095 0.595 0.500
Pd: 0.261 0.261 0.000
Pd: 0.739 0.739 0.000
Pd: 0.905 0.405 0.500